# Ac3La2ErTe6, optimized geometry, DFT GGA-PBE
data_Ac3La2ErTe6
_chemical_formula_sum 'Ac6 La4 Er2 Te12'
_symmetry_space_group_name_H-M 'C 1 2/m 1'
_symmetry_Int_Tables_number 12
_symmetry_space_group_name_Hall '-C 2y'
_cell_length_a 20.172
_cell_length_b 4.569
_cell_length_c 9.329
_cell_angle_alpha 90.00
_cell_angle_beta 104.06
_cell_angle_gamma 90.00
loop_
_atom_site_label
_atom_site_type_symbol
_atom_site_fract_x
_atom_site_fract_y
_atom_site_fract_z
_atom_site_occupancy
Ac1 Ac 0.000 0.000 0.000 1
Ac2 Ac 0.171 0.500 0.336 1
La1 La 0.167 0.500 0.834 1
Er1 Er 0.000 0.000 0.500 1
Te1 Te 0.000 0.500 0.271 1
Te2 Te 0.157 0.000 0.585 1
Te3 Te 0.169 0.000 0.078 1
# VASP energy   -5.2719 eV per atom